Entry 1:
PaPPd2 | the Alexandria database | PBE-GGA | optimized geometry; polymorph energy (0 for the lowest one) = 0 meV/atom; theoretical density = 11035 kg/m³; space-group type = Cmcm (63)
1.0
-0.1332 -2.2708 3.2020
-1.1527 -2.6645 -4.3466
7.2651 -1.6857 -0.8933
Pa P Pd
2 2 4
Direct
0.9377 0.8754 0.2500
0.0623 0.1246 0.7500
0.7717 0.5433 0.7500
0.2283 0.4567 0.2500
0.3641 0.7284 0.5599
0.6359 0.2716 0.4401
0.3641 0.7284 0.9401
0.6359 0.2716 0.0599

Entry 2:
PaPPd2 | the Alexandria database | PBE-GGA | optimized geometry; polymorph energy (0 for the lowest one) = 340 meV/atom; theoretical density = 10781 kg/m³; space-group type = R-3m (166)
1.0
4.8040 0.0000 0.0000
2.4020 4.1604 0.0000
2.4020 1.3868 3.6595
P Pa Pd
1 1 2
Direct
0.0000 0.0000 0.0000
0.5000 0.5000 0.5000
0.2368 0.2368 0.2897
0.7632 0.7632 0.7103

Entry 3:
PaP3Pd2 | the Alexandria database | PBE-GGA | optimized geometry; raw total energy = -78.610 eV per cell; theoretical density = 8506 kg/m³; space-group type = Cmcm (63)
1.0
5.4064 0.0000 0.0000
0.0000 6.1686 0.8496
0.0000 -0.7434 6.1823
Pa P Pd
2 6 4
Direct
0.2500 0.3375 0.6625
0.7500 0.6625 0.3375
0.7500 0.1759 0.8241
0.7500 0.2302 0.4649
0.2500 0.4649 0.2302
0.7500 0.5351 0.7698
0.2500 0.7698 0.5351
0.2500 0.8241 0.1759
0.0000 0.1577 0.1577
0.5000 0.1577 0.1577
0.0000 0.8423 0.8423
0.5000 0.8423 0.8423

Entry 4:
PaP2Pd4 | the Alexandria database | PBE-GGA | optimized geometry; polymorph energy (0 for the lowest one) = 0 meV/atom; theoretical density = 10490 kg/m³; space-group type = P4_2/mnm (136)
1.0
-2.7907 0.2891 2.8004
4.5601 -3.5354 4.9094
2.8557 6.6777 2.1563
Pa P Pd
2 4 8
Direct
0.5000 0.0000 0.0000
0.0000 0.5000 0.5000
0.0000 0.2231 0.7769
0.0000 0.7769 0.2231
0.5000 0.7231 0.7231
0.5000 0.2769 0.2769
0.0000 0.0810 0.3279
0.0000 0.9190 0.6721
0.5000 0.1721 0.5810
0.5000 0.8279 0.4190
0.5000 0.4190 0.8279
0.5000 0.5810 0.1721
0.0000 0.3279 0.0810
0.0000 0.6721 0.9190

Entry 5:
PaP2Pd4 | the Alexandria database | PBE-GGA | optimized geometry; polymorph energy (0 for the lowest one) = 53 meV/atom; theoretical density = 10459 kg/m³; space-group type = Cmmm (65)
1.0
-3.9334 0.5898 1.0559
-1.0972 -3.2434 -2.2754
1.3788 -2.4080 6.4814
Pa P Pd
1 2 4
Direct
0.0000 0.0000 0.0000
0.5000 0.5815 0.1630
0.5000 0.4185 0.8370
0.5000 0.8267 0.6535
0.0000 0.6710 0.3420
0.5000 0.1733 0.3465
0.0000 0.3290 0.6580

Entry 6:
Pa2P3Pd | the Alexandria database | PBE-GGA | optimized geometry; polymorph energy (0 for the lowest one) = 0 meV/atom; theoretical density = 9320 kg/m³; space-group type = Pnma (62)
1.0
3.9081 0.0000 0.0000
0.0000 7.8270 0.0000
0.0000 0.0000 15.4108
Pa P Pd
8 12 4
Direct
0.2500 0.2526 0.9683
0.7500 0.7474 0.0317
0.7500 0.2474 0.4683
0.2500 0.7526 0.5317
0.7500 0.0857 0.7230
0.2500 0.9143 0.2770
0.2500 0.4143 0.2230
0.7500 0.5857 0.7770
0.2500 0.3178 0.7845
0.7500 0.6822 0.2155
0.7500 0.1822 0.2845
0.2500 0.8178 0.7155
0.7500 0.0317 0.9059
0.2500 0.9683 0.0941
0.2500 0.4683 0.4059
0.7500 0.5317 0.5941
0.2500 0.1007 0.5759
0.7500 0.8993 0.4241
0.7500 0.3993 0.0759
0.2500 0.6007 0.9241
0.2500 0.3799 0.6338
0.7500 0.6201 0.3662
0.7500 0.1201 0.1338
0.2500 0.8799 0.8662

Entry 7:
PaTcPPd | the Alexandria database | PBE-GGA | optimized geometry; raw total energy = -31.138 eV per cell; theoretical density = 9841 kg/m³; space-group type = Pmmm (47)
1.0
3.6132 0.0000 0.0000
0.0000 4.5235 0.0000
0.0000 0.0000 4.8154
Pa Tc P Pd
1 1 1 1
Direct
0.5000 0.5000 0.5000
0.0000 0.0000 0.5000
0.0000 0.0000 0.0000
0.0000 0.5000 0.0000

Entry 8:
Pm5PaP6 | the Alexandria database | PBE-GGA | optimized geometry; raw total energy = -84.262 eV per cell; theoretical density = 6498 kg/m³; space-group type = C2/m (12)
1.0
7.0098 0.1713 1.0652
1.7216 5.9518 3.4694
0.1172 0.0657 7.0962
P Pa Pm
6 1 5
Direct
0.7564 0.0810 0.3222
0.2436 0.5968 0.3222
0.2433 0.2402 0.0000
0.7567 0.7598 0.0000
0.7564 0.4032 0.6778
0.2436 0.9190 0.6778
0.0000 0.0000 0.0000
0.5000 0.1691 0.6618
0.0000 0.3339 0.3322
0.5000 0.5000 0.0000
0.0000 0.6661 0.6678
0.5000 0.8309 0.3382

Entry 9:
PmPaP2 | the Alexandria database | PBE-GGA | optimized geometry; polymorph energy (0 for the lowest one) = 437 meV/atom; theoretical density = 8749 kg/m³; space-group type = Fm-3m (225)
1.0
-3.6920 -0.6112 3.1612
0.9239 -1.3875 4.6064
-0.6204 3.1690 3.6838
P Pa Pm
2 1 1
Direct
0.2500 0.2500 0.2500
0.7500 0.7500 0.7500
0.0000 0.0000 0.0000
0.5000 0.5000 0.5000

Entry 10:
Pm3PaP4 | the Alexandria database | PBE-GGA | optimized geometry; raw total energy = -57.479 eV per cell; theoretical density = 6835 kg/m³; space-group type = I4/mmm (139)
1.0
5.2695 0.0000 -2.3388
-1.0380 5.1662 -2.3388
-0.0166 -0.0202 7.0684
P Pa Pm
4 1 3
Direct
0.7604 0.7604 0.5208
0.2396 0.2396 0.4792
0.5000 0.0000 0.0000
0.0000 0.5000 0.0000
0.0000 0.0000 0.0000
0.5000 0.5000 0.0000
0.7500 0.2500 0.5000
0.2500 0.7500 0.5000

Entry 11:
Pm4PaP5 | the Alexandria database | PBE-GGA | optimized geometry; raw total energy = -70.859 eV per cell; theoretical density = 6628 kg/m³; space-group type = I4/m (87)
1.0
0.8983 -5.3581 -1.9808
6.2040 -0.8550 -3.3146
3.2275 -4.2893 4.6252
Pm Pa P
4 1 5
Direct
0.4030 0.4000 0.7961
0.8029 0.7961 0.6000
0.1991 0.2039 0.4000
0.5990 0.6000 0.2039
0.0012 0.0000 0.0000
0.9051 0.3849 0.8070
0.2899 0.8070 0.6151
0.7120 0.1930 0.3849
0.0969 0.6151 0.1930
0.5012 0.0000 0.0000

Entry 12:
PmPa3P4 | the Alexandria database | PBE-GGA | optimized geometry; raw total energy = -65.864 eV per cell; theoretical density = 8815 kg/m³; space-group type = Cmmm (65)
1.0
4.0008 -0.0497 0.0681
0.0496 6.6524 1.9447
-0.1129 0.3885 6.9192
P Pa Pm
4 3 1
Direct
0.0000 0.7574 0.7426
0.4999 0.7528 0.2527
0.0000 0.2428 0.2573
0.5000 0.2474 0.7472
0.5000 0.0001 0.5000
0.0000 0.0001 0.0000
0.0000 0.5001 0.5000
0.5000 0.5001 0.0000

Entry 13:
PmPa2P | the Alexandria database | PBE-GGA | optimized geometry; raw total energy = -29.731 eV per cell; theoretical density = 9934 kg/m³; space-group type = R-3m (166)
1.0
3.4734 0.0000 0.0000
1.7367 3.0081 0.0000
1.7367 1.0027 10.2078
P Pa Pm
1 2 1
Direct
0.5000 0.5000 0.5000
0.1063 0.1063 0.6810
0.8937 0.8937 0.3190
0.0000 0.0000 0.0000

Entry 14:
PmPaP2 | the Alexandria database | PBE-GGA | optimized geometry; polymorph energy (0 for the lowest one) = 382 meV/atom; theoretical density = 8710 kg/m³; space-group type = P4/mmm (123)
1.0
3.4584 0.0000 0.0000
0.0000 3.4584 0.0000
0.0000 0.0000 6.9816
P Pa Pm
2 1 1
Direct
0.0000 0.0000 0.7671
0.0000 0.0000 0.2329
0.5000 0.5000 0.0000
0.5000 0.5000 0.5000

Entry 15:
Pm3PaP4 | the Alexandria database | PBE-GGA | optimized geometry; raw total energy = -57.490 eV per cell; theoretical density = 6815 kg/m³; space-group type = Cmmm (65)
1.0
-1.3250 -2.1368 3.2199
-3.7271 -4.1828 -4.3094
6.4742 -2.6980 0.8737
Pm Pa P
3 1 4
Direct
0.0000 0.0000 0.5000
0.5000 0.5000 0.5000
0.0000 0.5000 0.0000
0.5000 0.0000 0.0000
0.0000 0.2392 0.2392
0.5000 0.7572 0.2428
0.0000 0.7608 0.7608
0.5000 0.2428 0.7572

Entry 16:
PmPaP2 | the Alexandria database | PBE-GGA | optimized geometry; polymorph energy (0 for the lowest one) = 0 meV/atom; theoretical density = 7792 kg/m³; space-group type = R-3m (166)
1.0
-0.2380 2.2872 3.3200
-3.5751 1.4371 1.2100
-2.2084 -4.1764 5.1753
Pm Pa P
1 1 2
Direct
0.5000 0.5000 0.5000
0.0000 0.0000 0.0000
0.2547 0.2547 0.2359
0.7453 0.7453 0.7641

Entry 17:
PmPaP2 | the Alexandria database | PBE-GGA | optimized geometry; polymorph energy (0 for the lowest one) = 151 meV/atom; theoretical density = 7650 kg/m³; space-group type = R3m (160)
1.0
3.9818 0.0000 0.0000
1.9909 3.4484 0.0000
1.9909 1.1495 6.9235
Pm Pa P
1 1 2
Direct
0.4941 0.4941 0.5178
0.6711 0.6711 0.9868
0.0785 0.0785 0.7646
0.2564 0.2564 0.2308

Entry 18:
PmPaP2 | the Alexandria database | PBE-GGA | optimized geometry; polymorph energy (0 for the lowest one) = 24 meV/atom; theoretical density = 7800 kg/m³; space-group type = P6_3/mmc (194)
1.0
4.0309 0.0000 0.0000
-2.0154 3.4908 0.0000
0.0000 0.0000 13.2528
Pm Pa P
2 2 4
Direct
0.6667 0.3333 0.2500
0.3333 0.6667 0.7500
0.0000 0.0000 0.5000
0.0000 0.0000 0.0000
0.3333 0.6667 0.3831
0.6667 0.3333 0.8831
0.6667 0.3333 0.6169
0.3333 0.6667 0.1169

Entry 19:
PmPr2PaP4 | the Alexandria database | PBE-GGA | optimized geometry; raw total energy = -57.290 eV per cell; theoretical density = 6588 kg/m³; space-group type = I-4m2 (119)
1.0
-3.0069 0.6975 -4.9294
-4.9728 -0.6852 2.9375
3.7610 5.7363 1.9481
Pm Pr Pa P
1 2 1 4
Direct
0.5000 0.5000 0.0000
0.2500 0.7500 0.5000
0.0000 0.0000 0.0000
0.7500 0.2500 0.5000
0.9873 0.4873 0.9746
0.5127 0.0127 0.0254
0.7483 0.7483 0.4965
0.2517 0.2517 0.5035

Entry 20:
Pm2PrPaP4 | the Alexandria database | PBE-GGA | optimized geometry; raw total energy = -57.356 eV per cell; theoretical density = 6709 kg/m³; space-group type = I-4m2 (119)
1.0
-2.9325 1.6307 -4.7185
-3.6227 -4.4604 0.7100
-0.1645 4.7336 5.2905
Pm Pr Pa P
2 1 1 4
Direct
0.2500 0.7500 0.5000
0.0000 0.0000 0.0000
0.5000 0.5000 0.0000
0.7500 0.2500 0.5000
0.9889 0.4889 0.9777
0.5111 0.0111 0.0223
0.7517 0.7517 0.5033
0.2483 0.2483 0.4967